Computed, not measured: crystalline Ce3Re5N12 at its relaxed geometry at the PBE level of DFT.

Cell: 11.1525 11.1525 11.1525 Å, 109.47 109.47 109.47°
Sites, in units of the cell vectors:
1 Ce 0.1250 0.2500 0.3750
2 Ce 0.1250 0.3750 0.7500
3 Ce 0.2500 0.3750 0.1250
4 Ce 0.2500 0.8750 0.6250
5 Ce 0.3750 0.1250 0.2500
6 Ce 0.3750 0.7500 0.1250
7 Ce 0.6250 0.2500 0.8750
8 Ce 0.6250 0.8750 0.7500
9 Ce 0.7500 0.1250 0.3750
10 Ce 0.7500 0.6250 0.8750
11 Ce 0.8750 0.6250 0.2500
12 Ce 0.8750 0.7500 0.6250
13 Re 0.0000 0.0000 0.0000
14 Re 0.0000 0.0000 0.5000
15 Re 0.0000 0.5000 0.0000
16 Re 0.0000 0.5000 0.5000
17 Re 0.1250 0.7500 0.8750
18 Re 0.1250 0.8750 0.2500
19 Re 0.2500 0.1250 0.8750
20 Re 0.2500 0.6250 0.3750
21 Re 0.3750 0.2500 0.6250
22 Re 0.3750 0.6250 0.7500
23 Re 0.5000 0.0000 0.0000
24 Re 0.5000 0.0000 0.5000
25 Re 0.5000 0.5000 0.0000
26 Re 0.5000 0.5000 0.5000
27 Re 0.6250 0.3750 0.2500
28 Re 0.6250 0.7500 0.3750
29 Re 0.7500 0.3750 0.6250
30 Re 0.7500 0.8750 0.1250
31 Re 0.8750 0.1250 0.7500
32 Re 0.8750 0.2500 0.1250
33 N 0.0126 0.1934 0.1170
34 N 0.0126 0.3191 0.8955
35 N 0.0764 0.6934 0.6809
36 N 0.0764 0.8830 0.3955
37 N 0.1045 0.6170 0.4236
38 N 0.1045 0.9874 0.6809
39 N 0.1170 0.0126 0.1934
40 N 0.1170 0.6045 0.9236
41 N 0.1809 0.1934 0.5764
42 N 0.1809 0.4874 0.6045
43 N 0.1934 0.1170 0.0126
44 N 0.1934 0.5764 0.1809
45 N 0.3066 0.3191 0.9236
46 N 0.3066 0.4874 0.3830
47 N 0.3191 0.8955 0.0126
48 N 0.3191 0.9236 0.3066
49 N 0.3830 0.3066 0.4874
50 N 0.3830 0.5764 0.8955
51 N 0.3955 0.0764 0.8830
52 N 0.3955 0.8191 0.5126
53 N 0.4236 0.1045 0.6170
54 N 0.4236 0.8191 0.8066
55 N 0.4874 0.3830 0.3066
56 N 0.4874 0.6045 0.1809
57 N 0.5126 0.3955 0.8191
58 N 0.5126 0.6170 0.6934
59 N 0.5764 0.1809 0.1934
60 N 0.5764 0.8955 0.3830
61 N 0.6045 0.1809 0.4874
62 N 0.6045 0.9236 0.1170
63 N 0.6170 0.4236 0.1045
64 N 0.6170 0.6934 0.5126
65 N 0.6809 0.0764 0.6934
66 N 0.6809 0.1045 0.9874
67 N 0.6934 0.5126 0.6170
68 N 0.6934 0.6809 0.0764
69 N 0.8066 0.4236 0.8191
70 N 0.8066 0.8830 0.9874
71 N 0.8191 0.5126 0.3955
72 N 0.8191 0.8066 0.4236
73 N 0.8830 0.3955 0.0764
74 N 0.8830 0.9874 0.8066
75 N 0.8955 0.0126 0.3191
76 N 0.8955 0.3830 0.5764
77 N 0.9236 0.1170 0.6045
78 N 0.9236 0.3066 0.3191
79 N 0.9874 0.6809 0.1045
80 N 0.9874 0.8066 0.8830

Properties
**Electronic total energy**: -765.7 eV/cell
**Formation energy from raw total energies**: -574 meV per atom